Record 1
Here is BaTl2Sn2S4 after structural relaxation from Alexandria. Energies are from GGA-PBE.

a b c (Å): 9.5697 9.5697 8.2399
angles (deg): 112.21 112.21 24.93
Fractional coordinates of all 9 atoms:
Ba: 0.0000 0.0000 0.0000
Tl: 0.1147 0.1147 0.6064
Tl: 0.8853 0.8853 0.3936
Sn: 0.2967 0.2967 0.9007
Sn: 0.7033 0.7033 0.0993
S: 0.1744 0.1744 0.2610
S: 0.4237 0.4237 0.1744
S: 0.5763 0.5763 0.8256
S: 0.8256 0.8256 0.7390

Properties
Its formation energy without anion corrections is -0.743 eV/atom. As for the space group: C2/m.

***

Record 2
Here is BaTl2SnS4 after structural relaxation from Alexandria. Energies are from GGA-PBE.

a b c (Å): 8.7486 8.7486 8.7486
angles (deg): 123.84 118.21 88.31
Fractional coordinates of all 16 atoms:
Ba: 0.0000 0.0000 0.0000
Ba: 0.5000 0.0000 0.5000
Tl: 0.0000 0.5000 0.5000
Tl: 0.5000 0.0000 0.0000
Tl: 0.5000 0.5000 0.0000
Tl: 0.5000 0.5000 0.5000
Sn: 0.0000 0.0000 0.5000
Sn: 0.0000 0.5000 0.0000
S: 0.2021 0.2020 0.4999
S: 0.2021 0.7022 0.0001
S: 0.2073 0.2504 0.9569
S: 0.2065 0.7496 0.4569
S: 0.7935 0.2504 0.5431
S: 0.7927 0.7496 0.0431
S: 0.7979 0.2978 0.9999
S: 0.7979 0.7980 0.5001

Properties
The density of states at the Fermi level comes out at 2.23 states/eV/f.u. Its formation energy without anion corrections is -0.699 eV/atom. As for the space group: Imma.